VASP calculation (GGA-PBEsol) on a relaxed structure of Li3Pt.

Output
total moment: 0.00 μB per cell
formation energy: -1.383 eV/f.u.
D(E_F): 0.37 states/eV/atom
space group: C2/m, No. 12
crystal system: monoclinic
excess energy over the best structure of this formula in the dataset: 0.008 eV per atom

a b c (Å): 2.7769 4.6101 4.6369
angles (deg): 99.26 90.00 107.53
Fractional coordinates of all 4 atoms:
Pt 0.5000 0.0000 0.0000
Li 0.7579 0.5158 0.7761
Li 0.0000 0.0000 0.5000
Li 0.2421 0.4842 0.2239


VASP calculation (GGA-PBEsol) on a relaxed structure of CaMnCo3.

Output
total moment: 0.00 μB per cell
formation energy: 3.658 eV/f.u.
D(E_F): 1.30 states/eV/atom
space group: Pm-3m, No. 221
crystal system: cubic

a b c (Å): 4.2045 4.2045 4.2045
angles (deg): 90.00 90.00 90.00
Fractional coordinates of all 5 atoms:
Co 0.5000 0.0000 0.0000
Co 0.0000 0.5000 0.0000
Mn 0.0000 0.0000 0.0000
Co 0.0000 0.0000 0.5000
Ca 0.5000 0.5000 0.5000


Question: Look up the formation energy of the second one.
Answer: 3.658 eV/f.u.